First-principles (PBE) data for Mn2TlCo after structural relaxation, as listed in Alexandria.

**Calculated formation energy**: 0.425 eV/atom
**Total moment**: 8.11 μB/cell
**SG**: No. 44
**Polymorph energy (0 for the lowest one)**: 12.3 kJ/mol of atoms

abc: 4.747 4.747 4.747
angles: 130.76 129.77 72.98
Last column: magnetic moment on the atom in μB.
Positions (direct):
Tl: 0.499 0.499 0.000  -0.10
Mn: 0.003 0.003 0.000  3.36
Mn: 0.751 0.251 0.500  3.43
Co: 0.247 0.747 0.500  1.26